Material: LaAsWSe2
Method: DFT, PBE
State: optimized geometry

abc: 5.631 5.631 5.684
angles: 90.00 90.00 90.00
Last column: magnetic moment on the atom in μB.
Element x y z (fractional)
As: 0.000 0.000 0.500  -0.47
W: 0.500 0.500 0.500  3.37
La: 0.000 0.000 0.000  -0.04
Se: 0.000 0.500 0.000  -0.27
Se: 0.500 0.000 0.000  -0.27

Output
The space group is No. 123. The excess energy over the best structure of this formula in the dataset is 153.9 kJ per mole of atoms. Its crystal system is tetragonal.

***

Material: LaYAsSe
Method: DFT, PBE
State: optimized geometry

abc: 4.218 4.218 7.355
angles: 73.34 73.34 60.00
Element x y z (fractional)
La: 0.997 0.997 0.010
As: 0.245 0.245 0.265
Se: 0.755 0.755 0.735
Y: 0.503 0.503 0.490

Output
The space group is No. 160. The value obtained for the total energy is -6.660 eV per atom. Its crystal system is trigonal.

***

Material: LaZnAsSe
Method: DFT, PBE
State: optimized geometry

abc: 4.354 4.354 14.063
angles: 81.10 81.10 60.00
Element x y z (fractional)
Se: 0.211 0.211 0.368
Zn: 0.311 0.311 0.068
Zn: 0.689 0.689 0.932
La: 0.089 0.089 0.733
As: 0.627 0.627 0.120
Se: 0.789 0.789 0.632
La: 0.911 0.911 0.267
As: 0.373 0.373 0.880

Output
The space group is No. 166. The value obtained for the total energy is -4.693 eV per atom. Its crystal system is trigonal.

***

Material: LaZnAsSe2
Method: DFT, PBE
State: optimized geometry

abc: 5.020 5.020 4.801
angles: 90.00 90.00 90.00
Element x y z (fractional)
As: 0.000 0.000 0.500
La: 0.500 0.500 0.500
Zn: 0.000 0.000 0.000
Se: 0.500 0.000 0.000
Se: 0.000 0.500 0.000

Output
The space group is No. 123. The excess energy over the best structure of this formula in the dataset is 0.0 kJ per mole of atoms. Its crystal system is tetragonal.

***

Which formula does entry 4 have?
LaZnAsSe2

***

Repeat the fourth record exactly.
Material: LaZnAsSe2
Method: DFT, PBE
State: optimized geometry

abc: 5.020 5.020 4.801
angles: 90.00 90.00 90.00
Element x y z (fractional)
As: 0.000 0.000 0.500
La: 0.500 0.500 0.500
Zn: 0.000 0.000 0.000
Se: 0.500 0.000 0.000
Se: 0.000 0.500 0.000

Output
The space group is No. 123. The excess energy over the best structure of this formula in the dataset is 0.0 kJ per mole of atoms. Its crystal system is tetragonal.